(1)
## Na3Y3AlO8 (PBE)

Data for an optimized crystal structure of Na3Y3AlO8.

The structure belongs to space group R-3m (No. 166, hexagonal axes); the cell edges are 6.6710, 6.6710 and 16.5862 Å and the angles 90.00°, 90.00° and 120.00°. The asymmetric unit holds Na at (0.0000, 0.5000, 0.0000), Y at (0.0000, 0.5000, 0.5000), Al at (0.0000, 0.0000, 0.5000), O at (0.0000, 0.0000, 0.2376) and O at (0.0399, 0.5200, 0.2305).

Its formation energy without anion corrections is -39.01 eV per formula unit.

***

(2)
## NaAlZnO3 (PBE)

Data for an optimized crystal structure of NaAlZnO3.

The structure belongs to space group P2_1/m (No. 11); the cell edges are 5.832, 3.147 and 8.002 Å and the angles 90.00°, 109.62° and 90.00°. The asymmetric unit holds Na at (0.008, 0.250, 0.309), Al at (0.469, 0.250, 0.649), Zn at (0.288, 0.250, 0.032), O at (0.233, 0.750, 0.168), O at (0.295, 0.250, 0.800) and O at (0.349, 0.750, 0.532).

Its formation energy without anion corrections is -12.17 eV per formula unit.

***

(3)
## NaAl2ZnO4 (PBE)

Data for an optimized crystal structure of NaAl2ZnO4.

The structure belongs to space group I-42m (No. 121); the cell edges are 4.414, 4.414 and 10.228 Å and the angles 90.00°, 90.00° and 90.00°. The asymmetric unit holds Na at (0.000, 0.000, 0.000), Al at (0.000, 0.500, 0.250), Zn at (0.000, 0.000, 0.500) and O at (0.241, 0.241, 0.342).

Its formation energy without anion corrections is -17.00 eV per formula unit.

***

(4)
## NaAl2Os2 (PBE)

Data for an optimized crystal structure of NaAl2Os2.

The structure belongs to space group P4/mbm (No. 127); the cell edges are 7.876, 7.876 and 2.602 Å and the angles 90.00°, 90.00° and 90.00°. The asymmetric unit holds Na at (0.000, 0.000, 0.000), Al at (0.159, 0.341, 0.000) and Os at (0.136, 0.636, 0.500).

The calculation puts the formation energy from the elements at -0.20 eV/f.u. The calculation puts the relative energy among the computed polymorphs at 0.0 meV per atom.

***

(5)
## NaAl3Os (PBE)

Data for an optimized crystal structure of NaAl3Os.

The structure belongs to space group Pm-3m (No. 221); the cell edges are 4.800, 4.800 and 4.800 Å and the angles 90.00°, 90.00° and 90.00°. The asymmetric unit holds Na at (0.000, 0.000, 0.000), Al at (0.000, 0.500, 0.500) and Os at (0.500, 0.500, 0.500).

The calculation puts the formation energy from the elements at -0.74 eV/f.u. The calculation puts the relative energy among the computed polymorphs at 0.0 meV per atom.

***

(6)
## NaAl2Os (PBE)

Data for an optimized crystal structure of NaAl2Os.

The structure belongs to space group I-42d (No. 122); the cell edges are 5.398, 5.398 and 15.678 Å and the angles 90.00°, 90.00° and 90.00°. The asymmetric unit holds Na at (0.000, 0.000, 0.000), Al at (0.003, 0.750, 0.625) and Os at (0.000, 0.000, 0.500).

The calculation puts the formation energy from the elements at 2.31 eV/f.u.